Entry 1:
The following is a GGA-PBE calculation of an optimized crystal structure of Zn5Cu2Au4, from Alexandria.

a = 7.0828 Å, b = 2.8967 Å, c = 8.5581 Å
α = 90.00°, β = 90.29°, γ = 90.00°
Closest atoms and distances in Å follow each position.
Sites, in units of the cell vectors:
Zn 0.0000 0.0000 0.0000  4 Au 2.68, 6 Zn 2.85-2.99
Zn 0.0676 0.0000 0.3456  1 Cu 2.53, 4 Au 2.70-2.80, 1 Zn 2.81
Zn 0.3667 0.0000 0.8650  1 Cu 2.51, 4 Au 2.75-2.79
Zn 0.6333 0.0000 0.1350  1 Cu 2.51, 4 Au 2.75-2.79
Zn 0.9324 0.0000 0.6544  1 Cu 2.53, 4 Au 2.70-2.80, 1 Zn 2.81
Cu 0.4231 0.0000 0.3706  1 Cu 2.46, 2 Zn 2.51-2.53, 4 Au 2.73-2.75
Cu 0.5769 0.0000 0.6294  1 Cu 2.46, 2 Zn 2.51-2.53, 4 Au 2.73-2.75
Au 0.2475 0.5000 0.6043  6 Zn 2.70-2.93, 4 Cu 2.75-2.77, 2 Au 2.90
Au 0.2785 0.5000 0.1275  8 Zn 2.68-2.90, 2 Cu 2.73, 2 Au 2.90
Au 0.7215 0.5000 0.8725  8 Zn 2.68-2.90, 2 Cu 2.73, 2 Au 2.90
Au 0.7525 0.5000 0.3957  6 Zn 2.70-2.93, 4 Cu 2.75-2.77, 2 Au 2.90

Output
symmetry	No. 10
total energy	-2.643	eV per atom
energy of formation	-127	meV per atom


Entry 2:
The following is a GGA-PBE calculation of an optimized crystal structure of Cs2Sb2As2Pd5, from Alexandria.

a = 15.6473 Å, b = 15.6473 Å, c = 15.6473 Å
α = 162.62°, β = 162.62°, γ = 24.67°
Closest atoms and distances in Å follow each position.
Sites, in units of the cell vectors:
Cs 0.2015 0.2015 0.0000  4 Sb 3.78, 1 As 3.79, 4 Pd 3.84
Cs 0.7985 0.7985 0.0000  4 Sb 3.78, 1 As 3.79, 4 Pd 3.84
Sb 0.3561 0.3561 0.0000  4 Pd 2.68
Sb 0.6439 0.6439 0.0000  4 Pd 2.68
As 0.0774 0.0774 0.0000  5 Pd 2.37-2.48
As 0.9226 0.9226 0.0000  5 Pd 2.37-2.48
Pd 0.0000 0.0000 0.0000  2 As 2.37
Pd 0.1024 0.6024 0.5000  2 As 2.48, 2 Sb 2.68
Pd 0.3976 0.8976 0.5000  2 As 2.48, 2 Sb 2.68
Pd 0.6024 0.1024 0.5000  2 As 2.48, 2 Sb 2.68
Pd 0.8976 0.3976 0.5000  2 As 2.48, 2 Sb 2.68

Output
symmetry	No. 139
total energy	-4.321	eV per atom
raw formation energy	-211	meV/atom


Entry 3:
The following is a GGA-PBE calculation of an optimized crystal structure of Mn2HOs, from Alexandria.

a = 6.4361 Å, b = 6.4361 Å, c = 6.4361 Å
α = 23.76°, β = 23.76°, γ = 23.76°
Closest atoms and distances in Å follow each position.
Sites, in units of the cell vectors:
Mn 0.2207 0.2207 0.2207  3 H 1.83
Mn 0.7793 0.7793 0.7793  3 H 1.83
H 0.5000 0.5000 0.5000  6 Mn 1.83
Os 0.0000 0.0000 0.0000  6 Mn 2.61, 6 Os 2.65

Output
symmetry	No. 166
total energy	-8.251	eV per atom
energy above the most stable polymorph in this dataset	7.9	meV/atom


Entry 4:
The following is a GGA-PBE calculation of an optimized crystal structure of CuPbCl, from Alexandria.

a = 12.2781 Å, b = 3.5584 Å, c = 3.5584 Å
α = 60.11°, β = 90.00°, γ = 90.00°
Closest atoms and distances in Å follow each position.
Sites, in units of the cell vectors:
Cu 0.0000 0.0000 0.0000  6 Pb 2.88
Cu 0.5000 0.2873 0.2873  6 Cl 2.45-2.65
Pb 0.1646 0.3332 0.3332  3 Cu 2.88
Pb 0.8354 0.3332 0.3332  3 Cu 2.88
Cl 0.3732 0.9800 0.9800  3 Cu 2.45-2.65
Cl 0.6268 0.9800 0.9800  3 Cu 2.45-2.65

Output
symmetry	No. 38
total energy	-3.358	eV per atom
raw formation energy	-141	meV/atom
energy above the most stable polymorph in this dataset	78.5	meV/atom


Entry 5:
The following is a GGA-PBE calculation of an optimized crystal structure of AgC2, from Alexandria.

a = 2.5597 Å, b = 2.5597 Å, c = 8.7337 Å
α = 90.00°, β = 90.00°, γ = 120.00°
Closest atoms and distances in Å follow each position.
Sites, in units of the cell vectors:
Ag 0.0000 0.0000 0.0000  6 Ag 2.56
C 0.3333 0.6667 0.5000  3 C 1.48
C 0.6667 0.3333 0.5000  3 C 1.48

Output
symmetry	No. 191
total energy	-6.767	eV per atom
energy of formation	333	meV per atom
energy above the most stable polymorph in this dataset	0.0	meV/atom


Entry 6:
The following is a GGA-PBE calculation of an optimized crystal structure of CaTlCo2, from Alexandria.

a = 4.5886 Å, b = 4.5886 Å, c = 4.5886 Å
α = 60.00°, β = 60.00°, γ = 60.00°
Closest atoms and distances in Å follow each position.
Sites, in units of the cell vectors:
Ca 0.0000 0.0000 0.0000  8 Co 2.81
Tl 0.5000 0.5000 0.5000  8 Co 2.81
Co 0.2500 0.2500 0.2500  4 Tl 2.81, 4 Ca 2.81
Co 0.7500 0.7500 0.7500  4 Tl 2.81, 4 Ca 2.81

Output
symmetry	No. 225
total energy	-4.215	eV per atom
energy of formation	430	meV per atom


Entry 7:
The following is a GGA-PBE calculation of an optimized crystal structure of LiReSe2, from Alexandria.

a = 3.2352 Å, b = 3.2352 Å, c = 7.9859 Å
α = 90.00°, β = 90.00°, γ = 121.62°
Closest atoms and distances in Å follow each position.
Sites, in units of the cell vectors:
Li 0.0000 0.0000 0.0000  4 Se 2.57
Re 0.0000 0.0000 0.5000  4 Se 2.52
Se 0.5000 0.5000 0.2539  2 Re 2.52, 2 Li 2.57
Se 0.5000 0.5000 0.7461  2 Re 2.52, 2 Li 2.57

Output
symmetry	No. 65
total energy	-5.154	eV per atom
raw formation energy	179	meV/atom
energy above the most stable polymorph in this dataset	420.7	meV/atom


Entry 8:
The following is a GGA-PBE calculation of an optimized crystal structure of PuTaNi2, from Alexandria.

a = 3.1184 Å, b = 3.1184 Å, c = 6.9573 Å
α = 90.00°, β = 90.00°, γ = 90.00°
Closest atoms and distances in Å follow each position.
Sites, in units of the cell vectors:
Pu 0.0000 0.0000 0.0000  8 Ni 3.08, 4 Pu 3.12
Ta 0.0000 0.0000 0.5000  8 Ni 2.58
Ni 0.5000 0.5000 0.3086  4 Ta 2.58, 1 Ni 2.66
Ni 0.5000 0.5000 0.6914  4 Ta 2.58, 1 Ni 2.66

Output
symmetry	No. 123
total energy	-9.544	eV per atom
energy of formation	-107	meV per atom
energy above the most stable polymorph in this dataset	0.0	meV/atom


Entry 9:
The following is a GGA-PBE calculation of an optimized crystal structure of Rb2GaBr5, from Alexandria.

a = 12.2089 Å, b = 14.2946 Å, c = 9.7923 Å
α = 90.00°, β = 90.00°, γ = 90.00°
Closest atoms and distances in Å follow each position.
Sites, in units of the cell vectors:
Rb 0.0000 0.0000 0.2305  2 Br 3.24
Rb 0.0000 0.0000 0.7695  2 Br 3.24
Rb 0.1217 0.3219 0.0000  2 Br 3.18-3.55
Rb 0.3783 0.8219 0.5000  2 Br 3.18-3.55
Rb 0.5000 0.5000 0.2695  2 Br 3.24
Rb 0.5000 0.5000 0.7305  2 Br 3.24
Rb 0.6217 0.1781 0.5000  2 Br 3.18-3.55
Rb 0.8783 0.6781 0.0000  2 Br 3.18-3.55
Ga 0.2468 0.2191 0.5000  4 Br 2.36-2.39
Ga 0.2532 0.7191 0.0000  4 Br 2.36-2.39
Ga 0.7468 0.2809 0.0000  4 Br 2.36-2.39
Ga 0.7532 0.7809 0.5000  4 Br 2.36-2.39
Br 0.0595 0.1755 0.5000  1 Ga 2.37
Br 0.1451 0.5797 0.0000  1 Ga 2.39
Br 0.1497 0.1010 0.0000  3 Rb 3.18-3.24
Br 0.2087 0.8066 0.1970  1 Ga 2.36
Br 0.2087 0.8066 0.8030  1 Ga 2.36
Br 0.2913 0.3066 0.3030  1 Ga 2.36
Br 0.2913 0.3066 0.6970  1 Ga 2.36
Br 0.3503 0.6010 0.5000  3 Rb 3.18-3.24
Br 0.3549 0.0797 0.5000  1 Ga 2.39
Br 0.4405 0.6755 0.0000  1 Ga 2.37
Br 0.5595 0.3245 0.0000  1 Ga 2.37
Br 0.6451 0.9203 0.5000  1 Ga 2.39
Br 0.6497 0.3990 0.5000  3 Rb 3.18-3.24
Br 0.7087 0.6934 0.3030  1 Ga 2.36
Br 0.7087 0.6934 0.6970  1 Ga 2.36
Br 0.7913 0.1934 0.1970  1 Ga 2.36
Br 0.7913 0.1934 0.8030  1 Ga 2.36
Br 0.8503 0.8990 0.0000  3 Rb 3.18-3.24
Br 0.8549 0.4203 0.0000  1 Ga 2.39
Br 0.9405 0.8245 0.5000  1 Ga 2.37

Output
symmetry	No. 58
total energy	-2.934	eV per atom
raw formation energy	-1268	meV/atom
energy above the most stable polymorph in this dataset	17.3	meV/atom


Entry 10:
The following is a GGA-PBE calculation of an optimized crystal structure of Ac6MgCd2, from Alexandria.

a = 9.0741 Å, b = 9.0741 Å, c = 12.1109 Å
α = 127.17°, β = 127.17°, γ = 25.92°
Closest atoms and distances in Å follow each position.
Sites, in units of the cell vectors:
Ac 0.0382 0.0382 0.1899  2 Cd 3.51, 4 Ac 3.91-3.92
Ac 0.2955 0.2955 0.8936  3 Cd 3.55-3.58, 2 Ac 3.95
Ac 0.3206 0.3206 0.4576  2 Mg 3.53, 2 Cd 3.60-3.73, 5 Ac 3.82-3.92
Ac 0.6794 0.6794 0.5424  2 Mg 3.53, 2 Cd 3.60-3.73, 5 Ac 3.82-3.92
Ac 0.7045 0.7045 0.1064  3 Cd 3.55-3.58, 2 Ac 3.95
Ac 0.9618 0.9618 0.8101  2 Cd 3.51, 4 Ac 3.91-3.92
Mg 0.0000 0.0000 0.5000  4 Cd 3.04
Cd 0.4127 0.4127 0.2632  2 Mg 3.04
Cd 0.5873 0.5873 0.7368  2 Mg 3.04

Output
symmetry	No. 12
total energy	-3.220	eV per atom
energy of formation	-100	meV per atom
energy above the most stable polymorph in this dataset	0.0	meV/atom


Entry 11:
The following is a GGA-PBE calculation of an optimized crystal structure of Si2AuSe, from Alexandria.

a = 2.7221 Å, b = 3.5925 Å, c = 7.6339 Å
α = 90.00°, β = 90.69°, γ = 90.00°
Closest atoms and distances in Å follow each position.
Sites, in units of the cell vectors:
Si 0.0000 0.0000 0.0000  4 Si 2.53-2.72, 2 Se 2.56
Si 0.0012 0.5000 0.7666  2 Au 2.51, 4 Si 2.53-2.72
Au 0.0052 0.0000 0.5367  2 Si 2.51, 2 Au 2.72
Se 0.0079 0.5000 0.2387  2 Si 2.56, 2 Se 2.72

Output
symmetry	No. 6
total energy	-4.232	eV per atom
raw formation energy	170	meV/atom


Entry 12:
The following is a GGA-PBE calculation of an optimized crystal structure of GdZr2Zn, from Alexandria.

a = 3.2873 Å, b = 3.2873 Å, c = 8.3627 Å
α = 90.00°, β = 90.00°, γ = 90.00°
Closest atoms and distances in Å follow each position.
Sites, in units of the cell vectors:
Gd 0.0000 0.0000 0.0000  4 Gd 3.29, 8 Zr 3.35
Zr 0.5000 0.5000 0.2878  4 Zn 2.92
Zr 0.5000 0.5000 0.7122  4 Zn 2.92
Zn 0.0000 0.0000 0.5000  8 Zr 2.92

Output
symmetry	No. 123
total energy	-8.155	eV per atom
energy of formation	-42	meV per atom
energy above the most stable polymorph in this dataset	0.0	meV/atom